Record 1
Here is crystalline VCuS2Cl at its relaxed geometry from Alexandria. Energies are from PBE.

```
VCuS2Cl
1.0
4.5386 0.0000 0.0000
0.0000 4.5386 0.0000
0.0000 0.0000 4.8930
S Cl Cu V
2 1 1 1
direct
0.0000 0.5000 0.0000
0.5000 0.0000 0.0000
0.0000 0.0000 0.5000
0.5000 0.5000 0.5000
0.0000 0.0000 0.0000
```

symmetry	P4/mmm (123)
spin magnetization	0.208	μB per atom
distance to the lowest polymorph of the same formula	0.00	eV/f.u.
V	20.2	Å³/atom
formation energy (no corrections)	-0.012	eV/atom
DOS(E_F)	2.750	states/eV per cell


Record 2
Here is crystalline CdTcHg at its relaxed geometry from Alexandria. Energies are from PBE.

```
CdTcHg
1.0
-0.6375 -7.0565 3.3590
1.9374 -5.9768 4.2546
-2.2523 0.2059 1.8662
Cd Hg Tc
1 1 1
direct
0.0065 0.0065 0.9935
0.3276 0.3276 0.6724
0.6659 0.6659 0.3341
```

symmetry	Fmm2 (42)
spin magnetization	0.221	μB per atom
distance to the lowest polymorph of the same formula	0.12	eV/f.u.
V	19.0	Å³/atom
DOS(E_F)	2.624	states/eV per cell


Record 3
Here is crystalline LiY2IrO at its relaxed geometry from Alexandria. Energies are from PBE.

```
LiY2IrO
1.0
4.7433 0.0000 0.0000
0.0000 4.7433 0.0000
0.0000 0.0000 3.7930
Y Ir O Li
2 1 1 1
direct
0.0000 0.5000 0.0000
0.5000 0.0000 0.0000
0.5000 0.5000 0.5000
0.0000 0.0000 0.0000
0.0000 0.0000 0.5000
```

symmetry	P4/mmm (123)
spin magnetization	0.000	μB per atom
V	17.1	Å³/atom
formation energy (no corrections)	-1.510	eV/atom
DOS(E_F)	3.238	states/eV per cell


Record 4
Here is crystalline TlCu at its relaxed geometry from Alexandria. Energies are from PBE.

```
TlCu
1.0
3.2834 0.0000 0.0000
0.0000 3.2834 0.0000
0.0000 0.0000 7.8008
Tl Cu
2 2
direct
0.0000 0.5000 0.8118
0.5000 0.0000 0.1882
0.0000 0.5000 0.4391
0.5000 0.0000 0.5609
```

symmetry	P4/nmm (129)
spin magnetization	0.000	μB per atom
V	21.0	Å³/atom
DOS(E_F)	1.356	states/eV per cell
uncorrected energy	-3.020	eV/atom


Record 5
Here is crystalline Na2HfAlZn at its relaxed geometry from Alexandria. Energies are from PBE.

```
Na2HfAlZn
1.0
4.9019 0.0000 0.0000
0.0000 5.3480 0.0000
0.0000 0.0000 4.9019
Na Zn Hf Al
2 1 1 1
direct
0.0000 0.0000 0.5000
0.5000 0.0000 0.0000
0.0000 0.0000 0.0000
0.0000 0.5000 0.0000
0.5000 0.5000 0.5000
```

symmetry	P4/mmm (123)
spin magnetization	0.000	μB per atom
V	25.7	Å³/atom
DOS(E_F)	5.053	states/eV per cell
uncorrected energy	-2.782	eV/atom


Record 6
Here is crystalline Tl4BiI6 at its relaxed geometry from Alexandria. Energies are from PBE.

```
Tl4BiI6
1.0
-9.3197 -1.7805 -1.2520
1.3618 -0.4748 -9.4612
1.7651 -9.7621 0.7439
Tl Bi I
8 2 12
direct
0.3404 0.1596 0.2500
0.1596 0.6596 0.7500
0.6596 0.8404 0.7500
0.8404 0.3404 0.7500
0.3404 0.1596 0.7500
0.1596 0.6596 0.2500
0.8404 0.3404 0.2500
0.6596 0.8404 0.2500
0.5000 0.5000 0.0000
0.0000 0.0000 0.5000
0.3248 0.8664 0.5000
0.8248 0.6336 0.0000
0.6336 0.1752 0.0000
0.1336 0.3248 0.5000
0.0000 0.0000 0.1927
0.5000 0.5000 0.3073
0.3664 0.8248 0.0000
0.0000 0.0000 0.8073
0.1752 0.3664 0.0000
0.5000 0.5000 0.6927
0.8664 0.6752 0.5000
0.6752 0.1336 0.5000
```

symmetry	P4/mnc (128)
spin magnetization	0.089	μB per atom
V	41.4	Å³/atom
formation energy (no corrections)	-0.484	eV/atom
DOS(E_F)	10.660	states/eV per cell


Record 7
Here is crystalline NaCu2S6 at its relaxed geometry from Alexandria. Energies are from PBE.

```
NaCu2S6
1.0
4.9991 -1.3290 -0.7665
-1.2435 6.4924 -1.6986
-1.2457 1.7718 6.4722
Na Cu S
1 2 6
direct
0.0000 0.0000 0.0000
0.5000 0.3541 0.6459
0.5000 0.6459 0.3541
0.8102 0.9657 0.5274
0.8102 0.5274 0.9657
0.7771 0.4248 0.4248
0.1898 0.4726 0.0343
0.1898 0.0343 0.4726
0.2229 0.5752 0.5752
```

symmetry	C2/m (12)
spin magnetization	0.000	μB per atom
V	23.0	Å³/atom
formation energy (no corrections)	-0.189	eV/atom
DOS(E_F)	2.629	states/eV per cell


Record 8
Here is crystalline MoPbSN2 at its relaxed geometry from Alexandria. Energies are from PBE.

```
MoPbSN2
1.0
4.0161 0.0000 0.0000
0.0000 4.0161 0.0000
0.0000 0.0000 5.0215
Pb Mo S N
1 1 1 2
direct
0.5000 0.5000 0.5000
0.0000 0.0000 0.0000
0.0000 0.0000 0.5000
0.0000 0.5000 0.0000
0.5000 0.0000 0.0000
```

symmetry	P4/mmm (123)
spin magnetization	0.000	μB per atom
distance to the lowest polymorph of the same formula	0.00	eV/f.u.
V	16.2	Å³/atom
formation energy (no corrections)	0.174	eV/atom
DOS(E_F)	0.744	states/eV per cell


Record 9
Here is crystalline La2Tb3Nd at its relaxed geometry from Alexandria. Energies are from PBE.

```
La2Tb3Nd
1.0
-1.8479 -6.5271 -1.6318
8.7427 0.4503 3.2144
-3.6140 -0.4874 6.0423
La Tb Nd
4 6 2
direct
0.3126 0.6475 0.4092
0.3348 0.6475 0.9092
0.6652 0.3525 0.0908
0.6874 0.3525 0.5908
0.7371 0.0000 0.7500
0.2629 0.0000 0.2500
0.8703 0.7235 0.9334
0.1468 0.2765 0.5666
0.8532 0.7235 0.4334
0.1297 0.2765 0.0666
0.7356 0.0000 0.2500
0.2644 0.0000 0.7500
```

symmetry	C2/c (15)
spin magnetization	0.000	μB per atom
distance to the lowest polymorph of the same formula	0.00	eV/f.u.
V	34.8	Å³/atom
DOS(E_F)	18.319	states/eV per cell


Record 10
Here is crystalline TeRuBr2 at its relaxed geometry from Alexandria. Energies are from PBE.

```
TeRuBr2
1.0
-1.3841 3.7141 -0.1086
-3.7434 0.7521 1.0694
2.5963 1.1417 8.0707
Ru Te Br
1 1 2
direct
0.4592 0.4592 0.4703
0.1246 0.1246 0.3414
0.1218 0.1218 0.0423
0.7944 0.7944 0.6461
```

symmetry	Cm (8)
spin magnetization	0.000	μB per atom
V	29.1	Å³/atom
formation energy (no corrections)	-0.197	eV/atom


Record 11
Here is crystalline Ac4SmHo at its relaxed geometry from Alexandria. Energies are from PBE.

```
Ac4SmHo
1.0
-6.1113 0.4823 -1.1839
0.4972 -5.6173 -4.8548
-2.0415 -6.8695 7.7395
Ac Sm Ho
8 2 2
direct
0.9997 0.5000 0.6705
0.4997 0.5000 0.8313
0.9997 0.0000 0.3295
0.5003 0.5000 0.1687
0.4997 0.0000 0.1687
0.0003 0.0000 0.6705
0.5003 0.0000 0.8313
0.0003 0.5000 0.3295
0.4998 0.7500 0.5000
0.5002 0.2500 0.5000
0.9999 0.7500 0.0000
0.0001 0.2500 0.0000
```

symmetry	Pmmm (47)
spin magnetization	0.000	μB per atom
distance to the lowest polymorph of the same formula	0.00	eV/f.u.
V	40.8	Å³/atom
DOS(E_F)	23.864	states/eV per cell


Record 12
Here is crystalline As2P2I at its relaxed geometry from Alexandria. Energies are from PBE.

```
As2P2I
1.0
-0.0949 -4.2809 -0.4682
0.4238 -0.4753 4.2601
-6.2108 -2.3070 2.5381
I P As
1 2 2
direct
0.0000 0.0000 0.0000
0.7500 0.2500 0.5000
0.2500 0.7500 0.5000
0.3525 0.3525 0.2950
0.6475 0.6475 0.7050
```

symmetry	I4/mmm (139)
spin magnetization	0.000	μB per atom
distance to the lowest polymorph of the same formula	0.00	eV/f.u.
V	23.8	Å³/atom
formation energy (no corrections)	0.207	eV/atom
DOS(E_F)	1.885	states/eV per cell